1.
Entry from the Alexandria database: crystalline ThAl9Fe2 at its relaxed geometry (PBE-GGA).

Output
- Energy of formation from the pure elements: -0.316 eV per atom
- Total magnetic moment: 0.00 μB/f.u.
- N(E_F): 0.613 states/eV per atom
- Symmetry: I4_1/amd (141)

Cell lengths 6.866, 8.221, 8.221 Å; angles 79.96, 65.32, 65.32 degrees
Element x y z (fractional)
Al: 0.691 0.178 0.577
Fe: 0.875 0.250 0.250
Al: 0.059 0.322 0.923
Al: 0.131 0.423 0.178
Al: 0.446 0.822 0.423
Al: 0.304 0.678 0.077
Al: 0.732 0.577 0.822
Al: 0.619 0.322 0.077
Fe: 0.875 0.750 0.250
Al: 0.750 0.500 0.500
Fe: 0.375 0.750 0.750
Th: 0.500 0.000 0.000
Al: 0.691 0.577 0.178
Al: 0.018 0.923 0.678
Fe: 0.875 0.250 0.750
Al: 0.018 0.678 0.923
Th: 0.250 0.500 0.500
Al: 0.732 0.822 0.577
Al: 0.446 0.423 0.822
Al: 0.304 0.077 0.678
Al: 0.059 0.923 0.322
Al: 0.000 0.000 0.000
Al: 0.131 0.178 0.423
Al: 0.619 0.077 0.322

2.
Entry from the Alexandria database: crystalline Ti2AlFe4 at its relaxed geometry (PBE-GGA).

Output
- Energy of formation from the pure elements: 0.042 eV per atom
- Total magnetic moment: 4.61 μB/f.u.
- N(E_F): 0.786 states/eV per atom
- Symmetry: I4/mmm (139)

Cell lengths 5.042, 5.042, 5.042 Å; angles 100.31, 114.24, 114.24 degrees
Element x y z (fractional)
Al: 0.000 0.000 0.000
Fe: 0.000 0.500 0.000
Fe: 0.000 0.000 0.500
Fe: 0.500 0.500 0.500
Ti: 0.500 0.500 0.000
Fe: 0.500 0.000 0.000
Ti: 0.500 0.000 0.500

Question: Which value of energy of formation from the pure elements does entry 2 give?
Answer: 0.042 eV per atom

Question: What is the N(E_F) in the first record?
Answer: 0.613 states/eV per atom

Question: Which of these has the highest energy of formation from the pure elements?
Answer: Ti2AlFe4

Question: Among the records above, which one has the lowest energy of formation from the pure elements?
Answer: ThAl9Fe2